Compound: ScTcRh2
Source: the Alexandria database
Functional: GGA-PBE
Structure: optimized geometry

Computed properties:
ρ: 9.430 g/cm³
Distance to the lowest polymorph of the same formula: 5 meV/atom
Crystal system: monoclinic
ΔE_f: -388 meV/atom
N(E_F): 1.15 states/eV per atom

a b c (Å): 4.502 2.839 4.805
angles (deg): 89.88 90.00 90.00
Atoms (fractional coordinates):
Tc1 0.500 0.628 0.814
Rh1 0.500 0.125 0.319
Sc1 0.000 0.623 0.427
Rh2 0.000 0.125 0.940